VASP calculation (PBE) on a relaxed ReTcNiC2 crystal.

Cell lengths 3.9205, 3.9205, 5.0476 Å; angles 90.00, 90.00, 90.00 degrees
Fractional positions:
Re1 0.0000 0.0000 0.0000
Tc1 0.0000 0.0000 0.5000
Ni1 0.5000 0.5000 0.5000
C1 0.0000 0.5000 0.0000
C2 0.5000 0.0000 0.0000

Values from the calculation:
uncorrected energy: -37.18 eV per cell

---

VASP calculation (PBE) on a relaxed Tl2ReNiC crystal.

Cell lengths 4.9015, 4.9015, 4.5405 Å; angles 90.00, 90.00, 90.00 degrees
Fractional positions:
Tl1 0.0000 0.5000 0.0000
Tl2 0.5000 0.0000 0.0000
Re1 0.0000 0.0000 0.5000
Ni1 0.0000 0.0000 0.0000
C1 0.5000 0.5000 0.5000

Values from the calculation:
uncorrected energy: -20.85 eV per cell